# PBE Be4InCu, optimized geometry
# Magnetization in Bohr magnetons per cell: 0.0
# Energy relative to the elements in eV/atom: 0.1600
# Crystal system: cubic
# Density in Mg/m³: 5.44
data_Be4InCu
_chemical_formula_sum 'Be16 In4 Cu4'
_cell_length_a 6.396
_cell_length_b 6.396
_cell_length_c 6.396
_cell_angle_alpha 90.00
_cell_angle_beta 90.00
_cell_angle_gamma 90.00
_space_group_name_H-M_alt 'F -4 3 m'
_space_group_IT_number 216
_space_group_name_Hall 'F -4 2 3'
loop_
_atom_site_label
_atom_site_fract_x
_atom_site_fract_y
_atom_site_fract_z
Be1 0.123 0.123 0.123
In1 0.000 0.000 0.500
Cu1 0.250 0.250 0.750